# 1
The following is a DFT calculation (PBE) of Pr3Nd4Al4 after structural relaxation.

Cell lengths 9.630, 9.630, 9.630 Å; angles 149.02, 133.83, 56.64 degrees
Atoms (fractional coordinates):
Pr (0.000, 0.000, 0.000)
Pr (0.372, 0.872, 0.500)
Pr (0.628, 0.128, 0.500)
Nd (0.224, 0.224, 0.000)
Nd (0.287, 0.500, 0.787)
Nd (0.713, 0.500, 0.213)
Nd (0.776, 0.776, 0.000)
Al (0.008, 0.332, 0.676)
Al (0.344, 0.668, 0.676)
Al (0.656, 0.332, 0.324)
Al (0.992, 0.668, 0.324)

Its total magnetization is 0.000 μB/cell. The value obtained for the total energy is -4.492 eV per atom.

# 2
The following is a DFT calculation (PBE) of MgMoAu2 after structural relaxation.

Cell lengths 2.924, 2.924, 28.003 Å; angles 90.00, 90.00, 120.00 degrees
Atoms (fractional coordinates):
Mg (0.000, 0.000, 0.000)
Mg (0.333, 0.667, 0.667)
Mg (0.667, 0.333, 0.333)
Mo (0.000, 0.000, 0.500)
Mo (0.333, 0.667, 0.167)
Mo (0.667, 0.333, 0.833)
Au (0.000, 0.000, 0.251)
Au (0.000, 0.000, 0.749)
Au (0.333, 0.667, 0.416)
Au (0.333, 0.667, 0.917)
Au (0.667, 0.333, 0.083)
Au (0.667, 0.333, 0.584)

Its total magnetization is 0.000 μB/cell. The value obtained for the total energy is -4.684 eV per atom.

# 3
The following is a DFT calculation (PBE) of B5C after structural relaxation.

Cell lengths 2.348, 2.348, 15.003 Å; angles 90.00, 90.00, 90.00 degrees
Atoms (fractional coordinates):
B (0.000, 0.000, 0.000)
B (0.000, 0.000, 0.323)
B (0.000, 0.000, 0.677)
B (0.000, 0.500, 0.088)
B (0.000, 0.500, 0.412)
B (0.500, 0.000, 0.588)
B (0.500, 0.000, 0.912)
B (0.500, 0.500, 0.177)
B (0.500, 0.500, 0.500)
B (0.500, 0.500, 0.823)
C (0.000, 0.500, 0.750)
C (0.500, 0.000, 0.250)

Its total magnetization is 0.000 μB/cell. The value obtained for the total energy is -6.649 eV per atom. The calculation puts the relative energy among the computed polymorphs at 256 meV per atom.

# 4
The following is a DFT calculation (PBE) of ZrIrAu2 after structural relaxation.

Cell lengths 3.465, 3.589, 5.827 Å; angles 90.00, 90.00, 90.00 degrees
Atoms (fractional coordinates):
Zr (0.000, 0.000, 0.000)
Ir (0.500, 0.500, 0.217)
Au (0.000, 0.000, 0.484)
Au (0.500, 0.500, 0.720)

Its total magnetization is 0.000 μB/cell. The value obtained for the total energy is -6.419 eV per atom. The calculation puts the relative energy among the computed polymorphs at 35 meV per atom.

no.,volume (Å³/atom),energy of formation (eV/atom)
1,29.9,-0.0934
2,17.3,0.0611
3,6.9,0.4532
4,18.1,-0.4281